Record 1
FeSiCl2 | GGA-PBE | optimized geometry

Cell: 3.2784 8.4127 8.9404 Å, 23.23 90.00 90.00°
Fractional coordinates of all 4 atoms:
Cl  0.0000  0.9514  0.0218
Cl  0.5000  0.1293  0.4328
Fe  0.0000  0.6008  0.5418
Si  0.5000  0.8185  0.5037

ΔE_f (raw), kcal/mol of atoms: -7.15
Total magnetic moment, μB per cell: 2.332
Distance to the lowest polymorph of the same formula, eV/atom: 0.024

---

Record 2
FeSiCl2 | GGA-PBE | optimized geometry

Cell: 8.6306 8.6306 8.6306 Å, 21.92 21.92 21.92°
Fractional coordinates of all 4 atoms:
Si  0.0000  0.0000  0.0000
Fe  0.5000  0.5000  0.5000
Cl  0.8951  0.8951  0.8951
Cl  0.1049  0.1049  0.1049

ΔE_f (raw), kcal/mol of atoms: -0.22
Total magnetic moment, μB per cell: 3.471
Distance to the lowest polymorph of the same formula, eV/atom: 0.324

---

Record 3
FeSiCl2 | GGA-PBE | optimized geometry

Cell: 6.9873 6.9873 6.9873 Å, 154.08 140.71 47.67°
Fractional coordinates of all 4 atoms:
Cl  0.9509  0.9509  0.0000
Cl  0.6551  0.1551  0.5000
Fe  0.5239  0.5239  0.0000
Si  0.3701  0.8701  0.5000

ΔE_f (raw), kcal/mol of atoms: 0.79
Total magnetic moment, μB per cell: 3.122
Distance to the lowest polymorph of the same formula, eV/atom: 0.368

---

Record 4
FeSiCl | GGA-PBE | optimized geometry

Cell: 3.1482 4.1433 9.2558 Å, 89.58 80.62 67.67°
Fractional coordinates of all 6 atoms:
Si  0.5238  0.7057  0.8347
Si  0.2247  0.4895  0.6414
Fe  0.8889  0.1016  0.7038
Fe  0.1886  0.2852  0.9289
Cl  0.6280  0.2292  0.1143
Cl  0.1494  0.8146  0.4594

ΔE_f (raw), kcal/mol of atoms: -6.24
Total magnetic moment, μB per cell: 3.162
Distance to the lowest polymorph of the same formula, eV/atom: 0.081